No. 1
Computed, not measured: SiAg2Mo at its PBEsol-relaxed geometry at the meta-GGA SCAN level of DFT.

Output
* raw formation energy: 0.313 eV per atom

Unit cell a=2.8357 b=4.4554 c=4.8993 alpha=90.00 beta=90.00 gamma=90.00
With the nearest neighbours (Å) after each atom.
Space group Pmmm (No. 47)
Symmetry-distinct sites (fractional):
Si: 0.0000 0.0000 0.0000 x1  4 Mo 2.64, 4 Ag 2.83, 2 Si 2.84
Ag: 0.0000 0.5000 0.5000 x1  6 Ag 2.64-2.84, 4 Mo 2.83
Ag: 0.5000 0.0000 0.5000 x1  6 Ag 2.64-2.84, 4 Si 2.83
Mo: 0.5000 0.5000 0.0000 x1  4 Si 2.64, 4 Ag 2.83, 2 Mo 2.84



No. 2
Computed, not measured: BaLa2Cd at its PBEsol-relaxed geometry at the meta-GGA SCAN level of DFT.

Output
* E above lowest polymorph: 0.178 eV/atom
* formation energy: 0.0296 eV per atom

Unit cell a=8.0660 b=8.1054 c=4.0435 alpha=90.00 beta=90.00 gamma=90.00
With the nearest neighbours (Å) after each atom.
Space group Cmmm (No. 65)
Symmetry-distinct sites (fractional):
Ba: 0.0000 0.0000 0.0000 x2  8 La 3.50
La: 0.2500 0.2500 0.5000 x4  4 Cd 3.50, 4 Ba 3.50
Cd: 0.0000 0.5000 0.0000 x2  8 La 3.50



No. 3
Computed, not measured: MnAl at its PBEsol-relaxed geometry at the meta-GGA SCAN level of DFT.

Output
* formation energy: -0.2337 eV per atom

Unit cell a=9.0781 b=2.8533 c=5.9141 alpha=90.00 beta=108.84 gamma=90.00
With the nearest neighbours (Å) after each atom.
Space group Cm (No. 8)
Symmetry-distinct sites (fractional):
Mn: 0.0000 0.0000 0.0000 x2  2 Mn 2.39, 6 Al 2.47-2.57
Mn: 0.0192 0.0000 0.4833 x2  2 Mn 2.36, 6 Al 2.45-2.54
Mn: 0.1582 0.5000 0.3075 x2  4 Mn 2.36-2.39, 4 Al 2.51-2.58
Al: 0.1576 0.5000 0.8221 x2  4 Mn 2.45-2.48, 5 Al 2.65-2.70
Al: 0.3438 0.0000 0.1772 x2  7 Mn 2.45-2.70, 2 Al 2.65
Al: 0.3436 0.0000 0.6422 x2  7 Mn 2.54-2.79, 4 Al 2.68-2.75



No. 4
Computed, not measured: Cu3BiSe2BrO8 at its PBEsol-relaxed geometry at the meta-GGA SCAN level of DFT.

Output
* raw formation energy: -0.931 eV per atom

Unit cell a=6.3243 b=9.6668 c=7.1804 alpha=90.00 beta=90.00 gamma=90.00
With the nearest neighbours (Å) after each atom.
Space group Pmmn (No. 59, origin choice 2)
Symmetry-distinct sites (fractional):
Cu: 0.0000 0.0000 0.0000 x4  4 O 1.92-1.96
Cu: 0.2500 0.2500 0.2065 x2  4 O 1.94-1.95
Bi: 0.2500 0.2500 0.7474 x2  6 O 2.30-2.43
Se: 0.2500 0.5564 0.3959 x4  3 O 1.71-1.74
Br: 0.2500 0.7500 0.8417 x2  6 Cu 3.10-3.18
O: 0.0373 0.5833 0.2473 x8  1 Se 1.74
O: 0.2500 0.1133 0.0093 x4  3 Cu 1.92-1.94
O: 0.2500 0.1199 0.4143 x4  1 Se 1.71



No. 5
Computed, not measured: CdC2NCl at its PBEsol-relaxed geometry at the meta-GGA SCAN level of DFT.

Output
* raw formation energy: 3.178 eV per atom

Unit cell a=3.8611 b=3.8611 c=3.8707 alpha=90.00 beta=90.00 gamma=90.00
With the nearest neighbours (Å) after each atom.
Space group P4/mmm (No. 123)
Symmetry-distinct sites (fractional):
Cd: 0.0000 0.0000 0.0000 x1  4 N 2.73, 8 C 2.73
C: 0.0000 0.5000 0.5000 x2  2 Cl 1.93
N: 0.5000 0.5000 0.0000 x1  2 Cl 1.94
Cl: 0.5000 0.5000 0.5000 x1  4 C 1.93, 2 N 1.94



No. 6
Computed, not measured: HfScTl3 at its PBEsol-relaxed geometry at the meta-GGA SCAN level of DFT.

Output
* formation energy: 0.5062 eV per atom

Unit cell a=5.3850 b=5.3850 c=5.3850 alpha=90.00 beta=90.00 gamma=90.00
With the nearest neighbours (Å) after each atom.
Space group Pm-3m (No. 221)
Symmetry-distinct sites (fractional):
Hf: 0.0000 0.0000 0.0000 x1  6 Tl 2.69
Sc: 0.5000 0.5000 0.5000 x1  12 Tl 3.81
Tl: 0.0000 0.0000 0.5000 x3  2 Hf 2.69



Per-record total DFT energy (no corrections), eV/atom: -26.596; -39.014; -13.237; -16.507; -10.399; -58.291